No. 1
Crystalline Ti2InFeC at its relaxed geometry, computed with GGA-PBE.

Values from the calculation:
**SG**: P4/mmm, No. 123
**E_form**: -0.32 eV/atom
**Total moment**: 1.95 μB/f.u.

Unit cell a=4.280 b=4.280 c=3.870 alpha=90.00 beta=90.00 gamma=90.00
Positions (direct):
Ti (0.000, 0.500, 0.000)
Ti (0.500, 0.000, 0.000)
In (0.000, 0.000, 0.500)
Fe (0.500, 0.500, 0.500)
C (0.500, 0.500, 0.000)

=====

No. 2
Crystalline HoTlPd at its relaxed geometry, computed with GGA-PBE.

Values from the calculation:
**Energy above the most stable polymorph in this dataset**: 0.118 eV/atom
**SG**: P-6m2, No. 187
**E_form**: -0.53 eV/atom
**Total moment**: 0.00 μB/f.u.

Unit cell a=4.755 b=4.755 c=3.491 alpha=90.00 beta=90.00 gamma=120.00
Positions (direct):
Ho (0.000, 0.000, 0.000)
Tl (0.333, 0.667, 0.500)
Pd (0.667, 0.333, 0.500)